Entry 1:
Ho4AlSb: relaxed, PBE-GGA.

Summary:
The value obtained for the uncorrected formation energy is -0.31 eV/atom. As for the volume: 361.1 Å³ per cell. As for the total energy: -4.68 eV per atom.

Unit cell a=8.715 b=8.715 c=8.715 alpha=131.74 beta=131.74 gamma=70.65
Element x y z (fractional)
Ho 0.000 0.239 0.239
Ho 0.000 0.761 0.761
Ho 0.239 0.000 0.739
Ho 0.239 0.500 0.239
Ho 0.500 0.239 0.739
Ho 0.500 0.761 0.261
Ho 0.761 0.000 0.261
Ho 0.761 0.500 0.761
Al 0.125 0.875 0.250
Al 0.875 0.125 0.750
Sb 0.375 0.625 0.750
Sb 0.625 0.375 0.250

Entry 2:
Ho8Al3Sb2: relaxed, PBE-GGA.

Summary:
The value obtained for the uncorrected formation energy is -0.40 eV/atom. As for the volume: 368.0 Å³ per cell. As for the total energy: -4.71 eV per atom.

Unit cell a=9.018 b=9.018 c=4.898 alpha=90.00 beta=90.00 gamma=112.50
Element x y z (fractional)
Ho 0.111 0.889 0.000
Ho 0.134 0.376 0.500
Ho 0.372 0.628 0.000
Ho 0.376 0.134 0.500
Ho 0.624 0.866 0.500
Ho 0.628 0.372 0.000
Ho 0.866 0.624 0.500
Ho 0.889 0.111 0.000
Al 0.256 0.256 0.000
Al 0.500 0.500 0.500
Al 0.744 0.744 0.000
Sb 0.239 0.761 0.500
Sb 0.761 0.239 0.500

Entry 3:
Ho8AlSb2: relaxed, PBE-GGA.

Summary:
The value obtained for the uncorrected formation energy is -0.38 eV/atom. As for the volume: 313.6 Å³ per cell. As for the total energy: -4.80 eV per atom.

Unit cell a=9.846 b=9.846 c=6.758 alpha=102.42 beta=102.42 gamma=29.41
Element x y z (fractional)
Ho 0.018 0.018 0.270
Ho 0.216 0.216 0.836
Ho 0.343 0.343 0.484
Ho 0.409 0.409 0.020
Ho 0.591 0.591 0.980
Ho 0.657 0.657 0.516
Ho 0.784 0.784 0.164
Ho 0.982 0.982 0.730
Al 0.500 0.500 0.500
Sb 0.180 0.180 0.268
Sb 0.820 0.820 0.732

Entry 4:
Ho5Al2Sb: relaxed, PBE-GGA.

Summary:
The value obtained for the uncorrected formation energy is -0.51 eV/atom. As for the volume: 423.3 Å³ per cell. As for the total energy: -4.82 eV per atom.

Unit cell a=8.577 b=8.577 c=8.577 alpha=123.09 beta=123.09 gamma=84.73
Element x y z (fractional)
Ho 0.000 0.000 0.000
Ho 0.011 0.511 0.815
Ho 0.196 0.011 0.500
Ho 0.304 0.804 0.815
Ho 0.489 0.304 0.500
Ho 0.500 0.500 0.000
Ho 0.511 0.696 0.500
Ho 0.696 0.196 0.185
Ho 0.804 0.989 0.500
Ho 0.989 0.489 0.185
Al 0.139 0.361 0.500
Al 0.361 0.861 0.223
Al 0.639 0.139 0.777
Al 0.861 0.639 0.500
Sb 0.250 0.250 0.000
Sb 0.750 0.750 0.000

Entry 5:
HoAlSb: relaxed, PBE-GGA.

Summary:
The value obtained for the uncorrected formation energy is -0.53 eV/atom. As for the volume: 149.4 Å³ per cell. As for the total energy: -4.68 eV per atom.

Unit cell a=4.230 b=4.230 c=8.348 alpha=90.00 beta=90.00 gamma=90.00
Element x y z (fractional)
Ho 0.250 0.250 0.190
Ho 0.750 0.750 0.810
Al 0.250 0.750 0.500
Al 0.750 0.250 0.500
Sb 0.250 0.250 0.816
Sb 0.750 0.750 0.184

Entry 6:
Ho8Al2Sb: relaxed, PBE-GGA.

Summary:
The value obtained for the uncorrected formation energy is -0.29 eV/atom. As for the volume: 313.4 Å³ per cell. As for the total energy: -4.67 eV per atom.

Unit cell a=9.926 b=9.926 c=6.775 alpha=103.29 beta=103.29 gamma=28.90
Element x y z (fractional)
Ho 0.031 0.031 0.262
Ho 0.216 0.216 0.812
Ho 0.341 0.341 0.523
Ho 0.405 0.405 0.035
Ho 0.595 0.595 0.965
Ho 0.659 0.659 0.477
Ho 0.784 0.784 0.188
Ho 0.969 0.969 0.738
Al 0.187 0.187 0.250
Al 0.813 0.813 0.750
Sb 0.500 0.500 0.500

Entry 7:
Ho2Sc7Al2: relaxed, PBE-GGA.

Summary:
As for the volume: 266.1 Å³ per cell. As for the formation enthalpy at 0 K: -119 kJ/mol of formula units. As for the total energy: -5.65 eV per atom.

Unit cell a=6.024 b=6.024 c=7.746 alpha=101.33 beta=101.33 gamma=97.38
Element x y z (fractional)
Ho 0.184 0.816 0.000
Ho 0.816 0.184 0.000
Sc 0.021 0.378 0.669
Sc 0.353 0.353 0.082
Sc 0.378 0.021 0.669
Sc 0.500 0.500 0.500
Sc 0.622 0.979 0.331
Sc 0.647 0.647 0.918
Sc 0.979 0.622 0.331
Al 0.128 0.128 0.341
Al 0.872 0.872 0.659

Entry 8:
HoScAl: relaxed, PBE-GGA.

Summary:
Its energy above the most stable polymorph in this dataset is 0.010 eV per atom. As for the volume: 215.7 Å³ per cell. As for the formation enthalpy at 0 K: -82 kJ/mol of formula units. As for the total energy: -5.17 eV per atom.

Unit cell a=8.357 b=8.357 c=3.566 alpha=90.00 beta=90.00 gamma=120.00
Element x y z (fractional)
Ho 0.000 0.621 0.000
Ho 0.379 0.379 0.000
Ho 0.621 0.000 0.000
Sc 0.000 0.286 0.500
Sc 0.286 0.000 0.500
Sc 0.714 0.714 0.500
Al 0.000 0.000 0.000
Al 0.333 0.667 0.500
Al 0.667 0.333 0.500

Entry 9:
Ho5ScAl6: relaxed, PBE-GGA.

Summary:
As for the volume: 268.6 Å³ per cell. As for the formation enthalpy at 0 K: -464 kJ/mol of formula units. As for the total energy: -4.71 eV per atom.

Unit cell a=8.706 b=8.706 c=5.045 alpha=106.46 beta=106.46 gamma=47.63
Element x y z (fractional)
Ho 0.000 0.000 0.000
Ho 0.163 0.163 0.664
Ho 0.327 0.327 0.326
Ho 0.673 0.673 0.674
Ho 0.837 0.837 0.336
Sc 0.500 0.500 0.000
Al 0.098 0.577 0.836
Al 0.271 0.729 0.500
Al 0.423 0.902 0.164
Al 0.577 0.098 0.836
Al 0.729 0.271 0.500
Al 0.902 0.423 0.164

Entry 10:
HoSc2Al: relaxed, PBE-GGA.

Summary:
Its energy above the most stable polymorph in this dataset is 0.150 eV per atom. As for the volume: 92.8 Å³ per cell. As for the formation enthalpy at 0 K: -29 kJ/mol of formula units. As for the total energy: -5.32 eV per atom.

Unit cell a=5.081 b=5.081 c=5.081 alpha=60.00 beta=60.00 gamma=60.00
Element x y z (fractional)
Ho 0.000 0.000 0.000
Sc 0.250 0.250 0.250
Sc 0.750 0.750 0.750
Al 0.500 0.500 0.500

Entry 11:
Ho2Sc3Al4: relaxed, PBE-GGA.

Summary:
As for the volume: 414.2 Å³ per cell. As for the formation enthalpy at 0 K: -186 kJ/mol of formula units. As for the total energy: -5.01 eV per atom.

Unit cell a=8.474 b=8.474 c=8.284 alpha=90.00 beta=90.00 gamma=135.87
Element x y z (fractional)
Ho 0.109 0.891 0.915
Ho 0.391 0.609 0.415
Ho 0.609 0.391 0.585
Ho 0.891 0.109 0.085
Sc 0.000 0.000 0.500
Sc 0.029 0.471 0.750
Sc 0.471 0.029 0.250
Sc 0.500 0.500 0.000
Sc 0.529 0.971 0.750
Sc 0.971 0.529 0.250
Al 0.181 0.819 0.537
Al 0.208 0.292 0.750
Al 0.292 0.208 0.250
Al 0.319 0.681 0.037
Al 0.681 0.319 0.963
Al 0.708 0.792 0.750
Al 0.792 0.708 0.250
Al 0.819 0.181 0.463

Entry 12:
Ho3Sc2Al2: relaxed, PBE-GGA.

Summary:
As for the volume: 171.9 Å³ per cell. As for the formation enthalpy at 0 K: -71 kJ/mol of formula units. As for the total energy: -4.95 eV per atom.

Unit cell a=11.405 b=11.405 c=3.295 alpha=90.00 beta=90.00 gamma=156.36
Element x y z (fractional)
Ho 0.000 0.000 0.000
Ho 0.144 0.856 0.000
Ho 0.856 0.144 0.000
Sc 0.284 0.716 0.500
Sc 0.716 0.284 0.500
Al 0.428 0.572 0.500
Al 0.572 0.428 0.500

Entry 13:
Ho3ScAl: relaxed, PBE-GGA.

Summary:
Its energy above the most stable polymorph in this dataset is 0.032 eV per atom. As for the volume: 266.7 Å³ per cell. As for the formation enthalpy at 0 K: -51 kJ/mol of formula units. As for the total energy: -4.87 eV per atom.

Unit cell a=14.211 b=14.211 c=5.136 alpha=90.00 beta=90.00 gamma=165.10
Element x y z (fractional)
Ho 0.041 0.959 0.750
Ho 0.262 0.738 0.750
Ho 0.431 0.569 0.750
Ho 0.569 0.431 0.250
Ho 0.738 0.262 0.250
Ho 0.959 0.041 0.250
Sc 0.348 0.652 0.250
Sc 0.652 0.348 0.750
Al 0.154 0.846 0.250
Al 0.846 0.154 0.750

Entry 14:
HoScAl2: relaxed, PBE-GGA.

Summary:
Its energy above the most stable polymorph in this dataset is 0.031 eV per atom. As for the volume: 85.1 Å³ per cell. As for the formation enthalpy at 0 K: -149 kJ/mol of formula units. As for the total energy: -4.99 eV per atom.

Unit cell a=4.570 b=4.570 c=4.075 alpha=90.00 beta=90.00 gamma=90.00
Element x y z (fractional)
Ho 0.000 0.000 0.000
Sc 0.500 0.500 0.000
Al 0.000 0.500 0.500
Al 0.500 0.000 0.500

Entry 15:
HoScAl: relaxed, PBE-GGA.

Summary:
Its energy above the most stable polymorph in this dataset is 0.287 eV per atom. As for the volume: 165.6 Å³ per cell. As for the formation enthalpy at 0 K: -2 kJ/mol of formula units. As for the total energy: -4.89 eV per atom.

Unit cell a=8.468 b=8.468 c=8.468 alpha=33.59 beta=33.59 gamma=33.59
Element x y z (fractional)
Ho 0.122 0.122 0.122
Ho 0.878 0.878 0.878
Sc 0.372 0.372 0.372
Sc 0.628 0.628 0.628
Al 0.254 0.254 0.254
Al 0.746 0.746 0.746

Entry 16:
Ho4ScAl: relaxed, PBE-GGA.

Summary:
Its energy above the most stable polymorph in this dataset is 0.110 eV per atom. As for the volume: 172.8 Å³ per cell. As for the formation enthalpy at 0 K: 53 kJ/mol of formula units. As for the total energy: -4.64 eV per atom.

Unit cell a=5.581 b=5.581 c=10.523 alpha=114.65 beta=114.65 gamma=35.91
Element x y z (fractional)
Ho 0.142 0.142 0.354
Ho 0.338 0.338 0.163
Ho 0.662 0.662 0.837
Ho 0.858 0.858 0.646
Sc 0.000 0.000 0.000
Al 0.500 0.500 0.500

Entry 17:
HoScAl2: relaxed, PBE-GGA.

Summary:
Its energy above the most stable polymorph in this dataset is 0.014 eV per atom. As for the volume: 84.5 Å³ per cell. As for the formation enthalpy at 0 K: -156 kJ/mol of formula units. As for the total energy: -5.00 eV per atom.

Unit cell a=4.925 b=4.925 c=4.925 alpha=60.00 beta=60.00 gamma=60.00
Element x y z (fractional)
Ho 0.000 0.000 0.000
Sc 0.500 0.500 0.500
Al 0.250 0.250 0.250
Al 0.750 0.750 0.750

Entry 18:
HoSc3Al8: relaxed, PBE-GGA.

Summary:
Its energy above the most stable polymorph in this dataset is 0.000 eV per atom. As for the volume: 223.8 Å³ per cell. As for the formation enthalpy at 0 K: -565 kJ/mol of formula units. As for the total energy: -4.95 eV per atom.

Unit cell a=9.393 b=9.393 c=9.393 alpha=33.41 beta=33.41 gamma=33.41
Element x y z (fractional)
Ho 0.000 0.000 0.000
Sc 0.377 0.377 0.377
Sc 0.499 0.499 0.499
Sc 0.874 0.874 0.874
Al 0.187 0.187 0.187
Al 0.437 0.437 0.936
Al 0.437 0.936 0.437
Al 0.439 0.938 0.938
Al 0.688 0.688 0.688
Al 0.936 0.437 0.437
Al 0.938 0.439 0.938
Al 0.938 0.938 0.439

Entry 19:
Ho3ScAl2: relaxed, PBE-GGA.

Summary:
As for the volume: 155.7 Å³ per cell. As for the formation enthalpy at 0 K: 107 kJ/mol of formula units. As for the total energy: -4.41 eV per atom.

Unit cell a=9.482 b=9.482 c=9.482 alpha=160.15 beta=147.40 gamma=38.45
Element x y z (fractional)
Ho 0.000 0.000 0.000
Ho 0.314 0.814 0.500
Ho 0.686 0.186 0.500
Sc 0.500 0.000 0.500
Al 0.144 0.644 0.500
Al 0.856 0.356 0.500

Entry 20:
HoScAl: relaxed, PBE-GGA.

Summary:
Its energy above the most stable polymorph in this dataset is 0.252 eV per atom. As for the volume: 67.0 Å³ per cell. As for the formation enthalpy at 0 K: -12 kJ/mol of formula units. As for the total energy: -4.93 eV per atom.

Unit cell a=5.027 b=5.027 c=3.060 alpha=90.00 beta=90.00 gamma=120.00
Element x y z (fractional)
Ho 0.000 0.000 0.000
Sc 0.667 0.333 0.006
Al 0.333 0.667 0.502